# 1
VASP calculation (PBE) on crystalline Mg2SiPt at its relaxed geometry.

E_form (uncorrected) ... -25.3 kJ per mole of atoms

a b c (Å): 8.895 8.895 8.895
angles (deg): 20.43 20.43 20.43
Fractional positions:
Mg 0.008 0.008 0.008
Mg 0.240 0.240 0.240
Pt 0.490 0.490 0.490
Si 0.762 0.762 0.762


# 2
VASP calculation (PBE) on crystalline Tb2PmDy9 at its relaxed geometry.

Calculated formation energy ... 4 kJ per mole of atoms

a b c (Å): 3.506 11.234 11.234
angles (deg): 120.00 90.00 90.00
Fractional positions:
Tb 0.000 0.667 0.333
Tb 0.000 0.333 0.667
Dy 0.000 0.500 0.000
Dy 0.000 0.500 0.500
Dy 0.500 0.823 0.646
Dy 0.500 0.177 0.354
Dy 0.500 0.354 0.177
Dy 0.500 0.177 0.823
Dy 0.500 0.823 0.177
Dy 0.000 0.000 0.500
Dy 0.500 0.646 0.823
Pm 0.000 0.000 0.000


# 3
VASP calculation (PBE) on crystalline Zn2TcAs at its relaxed geometry.

Calculated formation energy ... -5 kJ per mole of atoms

a b c (Å): 3.283 3.283 5.546
angles (deg): 90.00 90.00 90.00
Fractional positions:
Zn 0.500 0.500 0.234
Zn 0.000 0.000 0.010
Tc 0.500 0.500 0.736
As 0.000 0.000 0.520


# 4
VASP calculation (PBE) on crystalline Mn2SbAu at its relaxed geometry.

E_form (uncorrected) ... 11.1 kJ per mole of atoms

a b c (Å): 4.927 4.927 4.927
angles (deg): 129.80 129.78 73.75
Each line ends with the local moment (μB).
Fractional positions:
Sb 0.250 0.750 0.500  -0.07
Au 0.750 0.250 0.500  0.02
Mn 0.500 0.500 0.000  3.44
Mn 0.000 0.000 0.000  3.44


# 5
VASP calculation (PBE) on crystalline Sc6Cd5Bi at its relaxed geometry.

Calculated formation energy ... -31 kJ per mole of atoms

a b c (Å): 5.066 7.022 8.748
angles (deg): 113.66 106.65 90.00
Fractional positions:
Cd 0.333 0.334 0.667
Cd 0.000 0.500 0.000
Cd 0.325 0.825 0.651
Cd 0.667 0.666 0.333
Cd 0.675 0.175 0.349
Sc 0.832 0.083 0.664
Sc 0.832 0.581 0.664
Sc 0.500 0.746 0.000
Sc 0.168 0.917 0.336
Sc 0.500 0.254 0.000
Sc 0.168 0.419 0.336
Bi 0.000 0.000 0.000


# 6
VASP calculation (PBE) on crystalline BeAg2As at its relaxed geometry.

Calculated formation energy ... 28 kJ per mole of atoms

a b c (Å): 5.502 5.502 5.502
angles (deg): 148.55 130.93 59.45
Fractional positions:
Ag 0.456 0.456 0.000
Ag 0.044 0.044 0.000
As 0.750 0.250 0.500
Be 0.250 0.750 0.500


Calculated volume (Å³/cell), listed in the same order as above: 75 383 60 69 271 65
Calculated total magnetic moment (μB per formula unit), listed in the same order as above: 0.00 0.00 0.00 7.05 0.33 0.00